DFT (PBE-GGA) results for a geometry-optimized NbCCl2 structure.

Values from the calculation:
Energy relative to the elements, uncorrected   0.24 eV per atom
ρ   3.259 g/cm³
SG   No. 122
Raw total energy   -44.01 eV for the cell shown

Cell: 6.9684 6.9684 6.9684 Å, 94.79 94.79 146.42°
Atoms (fractional coordinates):
Nb 0.0000 0.0000 0.0000
Nb 0.7500 0.2500 0.5000
C 0.2500 0.7500 0.5000
C 0.5000 0.5000 0.0000
Cl 0.3750 0.2161 0.3411
Cl 0.7839 0.1250 0.1589
Cl 0.8750 0.0339 0.6589
Cl 0.9661 0.6250 0.8411

=====

DFT (PBE-GGA) results for a geometry-optimized LaPdO2F structure.

Values from the calculation:
Energy relative to the elements, uncorrected   -1.78 eV per atom
ρ   6.898 g/cm³
SG   No. 123
Raw total energy   -30.79 eV for the cell shown

Cell: 4.1570 4.1570 4.1282 Å, 90.00 90.00 90.00°
Atoms (fractional coordinates):
La 0.0000 0.0000 0.0000
Pd 0.5000 0.5000 0.5000
O 0.0000 0.5000 0.5000
O 0.5000 0.0000 0.5000
F 0.5000 0.5000 0.0000

=====

DFT (PBE-GGA) results for a geometry-optimized Sr5P6Pb2 structure.

Values from the calculation:
Formation enthalpy at 0 K   -0.75 eV/atom
ρ   4.726 g/cm³
SG   No. 55
Raw total energy   -116.04 eV for the cell shown

Cell: 12.5614 13.4263 4.3265 Å, 90.00 90.00 90.00°
Atoms (fractional coordinates):
Sr 0.0000 0.0000 0.0000
Sr 0.1108 0.2555 0.0000
Sr 0.1503 0.5776 0.0000
Sr 0.3497 0.0776 0.0000
Sr 0.3892 0.7555 0.0000
Sr 0.5000 0.5000 0.0000
Sr 0.6108 0.2445 0.0000
Sr 0.6503 0.9224 0.0000
Sr 0.8497 0.4224 0.0000
Sr 0.8892 0.7445 0.0000
P 0.0396 0.4272 0.5000
P 0.1301 0.8043 0.0000
P 0.1605 0.0908 0.5000
P 0.3395 0.5908 0.5000
P 0.3699 0.3043 0.0000
P 0.4604 0.9272 0.5000
P 0.5396 0.0728 0.5000
P 0.6301 0.6957 0.0000
P 0.6605 0.4092 0.5000
P 0.8395 0.9092 0.5000
P 0.8699 0.1957 0.0000
P 0.9604 0.5728 0.5000
Pb 0.2174 0.8957 0.5000
Pb 0.2826 0.3957 0.5000
Pb 0.7174 0.6043 0.5000
Pb 0.7826 0.1043 0.5000